No. 1
Material: Pr4SmErS8
Method: DFT, PBE
State: relaxed

Unit cell a=8.3242 b=8.3242 c=20.3388 alpha=90.00 beta=90.00 gamma=120.00
With the nearest neighbours (Å) after each atom.
Space group R3m (No. 160, hexagonal axes)
Symmetry-distinct sites (fractional):
Pr (0.0000, 0.0000, 0.0000) x3  4 S 2.72-2.74
Pr (0.1702, 0.3404, 0.2079) x9  6 S 2.88-2.90
Sm (0.0000, 0.0000, 0.3778) x3  6 S 2.83-2.85
Er (0.0000, 0.0000, 0.7507) x3  4 S 2.58-2.59
S (0.0000, 0.0000, 0.1337) x3  4 Pr 2.72-2.88
S (0.0000, 0.0000, 0.6240) x3  1 Er 2.58
S (0.0082, 0.5041, 0.1242) x9  1 Er 2.59, 1 Sm 2.85, 2 Pr 2.90
S (0.1800, 0.3600, 0.9574) x9  3 Pr 2.74-2.88, 1 Sm 2.83

E = -6.29 eV/atom
uncorrected formation energy = -1.9025 eV per atom

=====

No. 2
Material: HgGe2Pd9
Method: DFT, PBE
State: relaxed

Unit cell a=3.9744 b=3.9744 c=11.9331 alpha=90.00 beta=90.00 gamma=90.00
With the nearest neighbours (Å) after each atom.
Space group P4/mmm (No. 123)
Symmetry-distinct sites (fractional):
Hg (0.0000, 0.0000, 0.0000) x1  12 Pd 2.81-2.92
Ge (0.0000, 0.0000, 0.3322) x2  12 Pd 2.70-2.82
Pd (0.0000, 0.5000, 0.1787) x4  2 Ge 2.70, 8 Pd 2.77-2.92, 2 Hg 2.92
Pd (0.0000, 0.5000, 0.5000) x2  8 Pd 2.75-2.81, 4 Ge 2.82
Pd (0.5000, 0.5000, 0.0000) x1  4 Hg 2.81, 8 Pd 2.92
Pd (0.5000, 0.5000, 0.3403) x2  8 Pd 2.75-2.77, 4 Ge 2.81

E = -4.97 eV/atom

=====

No. 3
Material: Sr2As4Ir3
Method: DFT, PBE
State: relaxed

Unit cell a=5.8050 b=10.1013 c=13.2834 alpha=90.00 beta=90.00 gamma=90.00
With the nearest neighbours (Å) after each atom.
Space group Fmmm (No. 69)
Symmetry-distinct sites (fractional):
Sr (0.0000, 0.0000, 0.1360) x8  8 As 3.33-3.41, 6 Ir 3.42-3.43, 1 Sr 3.61
As (0.0000, 0.1624, 0.3594) x16  3 Ir 2.49-2.53
Ir (0.0000, 0.0000, 0.5000) x4  4 As 2.49
Ir (0.2500, 0.2500, 0.0000) x8  4 As 2.53

E = -6.01 eV/atom

=====

No. 4
Material: NbB4Mo6
Method: DFT, PBE
State: relaxed

Unit cell a=5.7118 b=5.7118 c=8.4129 alpha=90.00 beta=90.00 gamma=90.00
With the nearest neighbours (Å) after each atom.
Space group I-42m (No. 121)
Symmetry-distinct sites (fractional):
Nb (0.0000, 0.0000, 0.0000) x2  12 Mo 2.80-3.11, 4 B 2.98
B (0.1360, 0.1360, 0.5590) x8  2 B 1.84
Mo (0.0000, 0.5000, 0.0000) x4  4 B 2.27
Mo (0.1920, 0.1920, 0.2775) x8  4 B 2.30-2.41

E = -9.45 eV/atom

=====

Number 1: N(E_F) 0.442 states/eV/atom. Number 2: N(E_F) 0.987 states/eV/atom. Number 3: N(E_F) 0.509 states/eV/atom. Number 4: N(E_F) 0.579 states/eV/atom.